Compound: Zr2CoBr
Source: Alexandria
Functional: meta-GGA SCAN
Structure: PBEsol geometry

a = 3.0961 Å, b = 3.0961 Å, c = 7.3903 Å
α = 90.00°, β = 90.00°, γ = 90.00°
Space group P4/mmm (No. 123)
Inequivalent atoms, fractional coordinates:
Zr 0.0000 0.0000 0.2178
Co 0.5000 0.5000 0.0000
Br 0.5000 0.5000 0.5000

Output
Size of the total moment   1.56 μB/f.u.
E_form (uncorrected)   -325 meV/atom
Polymorph energy (0 for the lowest one)   0 meV per atom